# Ag3PdF6

Ag3PdF6 after structural relaxation (PBE, the Alexandria database).

The magnetization comes out at 1.00 μB/f.u. As for the polymorph energy (0 for the lowest one): 44 meV/atom. The value obtained for the volume is 653.7 Å³ per cell. Its uncorrected formation energy is -1.08 eV/atom.

The space group is Fmmm (No. 69) and the conventional cell measures 7.1132, 8.2875 and 11.0894 Å, with angles of 90.00, 90.00 and 90.00 degrees. Symmetry generates all atoms from Ag at (0.0000, 0.0000, 0.0000), Ag at (0.2500, 0.2500, 0.2500), Pd at (0.0000, 0.0000, 0.5000), F at (0.0000, 0.2381, 0.5000) and F at (0.2181, 0.0000, 0.3672).

=====

# Ca3ZrMo

Ca3ZrMo after structural relaxation (PBE, the Alexandria database).

The magnetization comes out at 1.97 μB/f.u. As for the polymorph energy (0 for the lowest one): 0 meV/atom. The value obtained for the volume is 163.6 Å³ per cell.

The space group is Pm-3m (No. 221) and the conventional cell measures 5.4694, 5.4694 and 5.4694 Å, with angles of 90.00, 90.00 and 90.00 degrees. Symmetry generates all atoms from Ca at (0.0000, 0.0000, 0.5000), Zr at (0.5000, 0.5000, 0.5000) and Mo at (0.0000, 0.0000, 0.0000).

=====

# Ho6Te3Pt2Se

Ho6Te3Pt2Se after structural relaxation (PBE, the Alexandria database).

The magnetization comes out at 0.00 μB/f.u. The value obtained for the volume is 649.9 Å³ per cell. Its uncorrected formation energy is -1.37 eV/atom.

The space group is C2/m (No. 12) and the conventional cell measures 7.1994, 12.5063 and 7.6053 Å, with angles of 90.00, 108.36 and 90.00 degrees. Symmetry generates all atoms from Ho at (0.2219, 0.0000, 0.2140), Ho at (0.2477, 0.3252, 0.2162), Te at (0.0000, 0.0000, 0.5000), Te at (0.0000, 0.3398, 0.5000), Pt at (0.0000, 0.1679, 0.0000) and Se at (0.0000, 0.5000, 0.0000).

=====

# Al2H7

Al2H7 after structural relaxation (PBE, the Alexandria database).

The magnetization comes out at 0.00 μB/f.u. The total energy is -3.2764 eV per atom. The value obtained for the volume is 84.5 Å³ per cell.

The space group is P-1 (No. 2) and the conventional cell measures 4.4522, 4.6093 and 5.2006 Å, with angles of 105.36, 100.21 and 118.45 degrees. Symmetry generates all atoms from Al at (0.1673, 0.3328, 0.0111), H at (0.0000, 0.5000, 0.5000), H at (0.0122, 0.5146, 0.6996), H at (0.2466, 0.1057, 0.2004) and H at (0.3866, 0.2610, 0.7836).

=====

# RbLaNb

RbLaNb after structural relaxation (PBE, the Alexandria database).

The magnetization comes out at 0.00 μB/f.u. As for the polymorph energy (0 for the lowest one): 87 meV/atom. The value obtained for the volume is 118.4 Å³ per cell.

The space group is P1 (No. 1) and the conventional cell measures 3.2289, 4.9810 and 7.5200 Å, with angles of 90.02, 101.77 and 90.00 degrees. Symmetry generates all atoms from Rb at (0.0000, 0.0000, 0.0000), La at (0.2379, 0.5042, 0.4944) and Nb at (0.7399, 0.0045, 0.5006).

=====

# PuNi2Ge

PuNi2Ge after structural relaxation (PBE, the Alexandria database).

The magnetization comes out at 5.21 μB/f.u. The total energy is -8.0232 eV per atom. The value obtained for the volume is 131.0 Å³ per cell.

The space group is Pmma (No. 51) and the conventional cell measures 5.0770, 3.9582 and 6.5198 Å, with angles of 90.00, 90.00 and 90.00 degrees. Symmetry generates all atoms from Pu at (0.2500, 0.0000, 0.1853), Ni at (0.0000, 0.5000, 0.5000), Ni at (0.2500, 0.0000, 0.6193) and Ge at (0.2500, 0.5000, 0.8242).

=====

# Pm3Zn4Ge2

Pm3Zn4Ge2 after structural relaxation (PBE, the Alexandria database).

The magnetization comes out at 0.00 μB/f.u. The total energy is -3.7587 eV per atom. The value obtained for the volume is 388.8 Å³ per cell.

The space group is C2/m (No. 12) and the conventional cell measures 10.9691, 4.3432 and 8.5624 Å, with angles of 90.00, 107.63 and 90.00 degrees. Symmetry generates all atoms from Pm at (0.0000, 0.0000, 0.0000), Pm at (0.1746, 0.5000, 0.6545), Zn at (0.0233, 0.0000, 0.3633), Zn at (0.2438, 0.5000, 0.0727) and Ge at (0.1102, 0.5000, 0.2746).

=====

# Ir3Se

Ir3Se after structural relaxation (PBE, the Alexandria database).

The magnetization comes out at 0.00 μB/f.u. As for the polymorph energy (0 for the lowest one): 230 meV/atom. The value obtained for the volume is 248.9 Å³ per cell. Its uncorrected formation energy is 0.52 eV/atom.

The space group is I4/mmm (No. 139) and the conventional cell measures 3.9143, 3.9143 and 16.2472 Å, with angles of 90.00, 90.00 and 90.00 degrees. Symmetry generates all atoms from Ir at (0.0000, 0.0000, 0.1158), Ir at (0.0000, 0.5000, 0.0000), Ir at (0.0000, 0.5000, 0.2500) and Se at (0.0000, 0.0000, 0.3544).

=====

# Cu2MoBrCl

Cu2MoBrCl after structural relaxation (PBE, the Alexandria database).

The magnetization comes out at 4.75 μB/f.u. The value obtained for the volume is 124.4 Å³ per cell. Its uncorrected formation energy is 0.98 eV/atom.

The space group is P4/mmm (No. 123) and the conventional cell measures 4.3392, 4.3392 and 6.6043 Å, with angles of 90.00, 90.00 and 90.00 degrees. Symmetry generates all atoms from Cu at (0.0000, 0.5000, 0.0000), Mo at (0.0000, 0.0000, 0.5000), Br at (0.5000, 0.5000, 0.5000) and Cl at (0.5000, 0.5000, 0.0000).

=====

# CdFeSi2

CdFeSi2 after structural relaxation (PBE, the Alexandria database).

The magnetization comes out at 0.00 μB/f.u. The value obtained for the volume is 133.6 Å³ per cell. Its uncorrected formation energy is 0.08 eV/atom.

The space group is Cm (No. 8) and the conventional cell measures 8.0183, 2.8038 and 6.3412 Å, with angles of 90.00, 110.42 and 90.00 degrees. Symmetry generates all atoms from Cd at (0.0000, 0.0000, 0.0000), Fe at (0.1425, 0.5000, 0.4004), Si at (0.1703, 0.0000, 0.6905) and Si at (0.3556, 0.0000, 0.3750).

=====

# Tb2ZnS4

Tb2ZnS4 after structural relaxation (PBE, the Alexandria database).

The magnetization comes out at 0.00 μB/f.u. As for the polymorph energy (0 for the lowest one): 0 meV/atom. The value obtained for the volume is 1356.0 Å³ per cell. Its uncorrected formation energy is -1.66 eV/atom.

The space group is Fd-3m (No. 227, origin choice 2) and the conventional cell measures 11.0684, 11.0684 and 11.0684 Å, with angles of 90.00, 90.00 and 90.00 degrees. Symmetry generates all atoms from Tb at (0.0000, 0.0000, 0.0000), Zn at (0.1250, 0.1250, 0.6250) and S at (0.0014, 0.0014, 0.2486).

=====

# NaZr2Pt2

NaZr2Pt2 after structural relaxation (PBE, the Alexandria database).

The magnetization comes out at 0.00 μB/f.u. As for the polymorph energy (0 for the lowest one): 66 meV/atom. The value obtained for the volume is 231.0 Å³ per cell.

The space group is I4/mmm (No. 139) and the conventional cell measures 4.6818, 4.6818 and 10.5391 Å, with angles of 90.00, 90.00 and 90.00 degrees. Symmetry generates all atoms from Na at (0.0000, 0.0000, 0.0000), Zr at (0.0000, 0.5000, 0.2500) and Pt at (0.0000, 0.0000, 0.3769).

=====

# CuTeO2

CuTeO2 after structural relaxation (PBE, the Alexandria database).

The magnetization comes out at 0.00 μB/f.u. The value obtained for the volume is 228.5 Å³ per cell. Its uncorrected formation energy is -0.29 eV/atom.

The space group is I-42d (No. 122) and the conventional cell measures 4.2746, 4.2746 and 12.5038 Å, with angles of 90.00, 90.00 and 90.00 degrees. Symmetry generates all atoms from Cu at (0.0000, 0.0000, 0.0000), Te at (0.0000, 0.0000, 0.5000) and O at (0.2404, 0.2500, 0.1250).

=====

# FeNiOs

FeNiOs after structural relaxation (PBE, the Alexandria database).

The magnetization comes out at 2.91 μB/f.u. As for the polymorph energy (0 for the lowest one): 0 meV/atom. The value obtained for the volume is 74.7 Å³ per cell.

The space group is P4/nmm (No. 129, origin choice 2) and the conventional cell measures 2.6538, 2.6538 and 10.6111 Å, with angles of 90.00, 90.00 and 90.00 degrees. Symmetry generates all atoms from Fe at (0.2500, 0.2500, 0.2318), Ni at (0.2500, 0.2500, 0.9218) and Os at (0.2500, 0.2500, 0.5905).

=====

# ReOsCl2

ReOsCl2 after structural relaxation (PBE, the Alexandria database).

The magnetization comes out at 0.00 μB/f.u. As for the polymorph energy (0 for the lowest one): 976 meV/atom. The value obtained for the volume is 187.5 Å³ per cell. Its uncorrected formation energy is 0.96 eV/atom.

The space group is R-3m (No. 166, hexagonal axes) and the conventional cell measures 2.9279, 2.9279 and 25.2566 Å, with angles of 90.00, 90.00 and 120.00 degrees. Symmetry generates all atoms from Re at (0.0000, 0.0000, 0.0000), Os at (0.0000, 0.0000, 0.5000) and Cl at (0.0000, 0.0000, 0.4097).

=====

# CdPd3Pt2

CdPd3Pt2 after structural relaxation (PBE, the Alexandria database).

The magnetization comes out at 0.00 μB/f.u. As for the polymorph energy (0 for the lowest one): 113 meV/atom. The value obtained for the volume is 402.0 Å³ per cell.

The space group is Cmcm (No. 63) and the conventional cell measures 5.5348, 13.9276 and 5.2152 Å, with angles of 90.00, 90.00 and 90.00 degrees. Symmetry generates all atoms from Cd at (0.0000, 0.1570, 0.2500), Pd at (0.0000, 0.3459, 0.7500), Pd at (0.2476, 0.1720, 0.7500) and Pt at (0.2462, 0.5000, 0.0000).

=====

# SrCaAu3

SrCaAu3 after structural relaxation (PBE, the Alexandria database).

The magnetization comes out at 0.00 μB/f.u. As for the polymorph energy (0 for the lowest one): 481 meV/atom. The value obtained for the volume is 158.1 Å³ per cell.

The space group is Pm-3m (No. 221) and the conventional cell measures 5.4071, 5.4071 and 5.4071 Å, with angles of 90.00, 90.00 and 90.00 degrees. Symmetry generates all atoms from Sr at (0.0000, 0.0000, 0.0000), Ca at (0.5000, 0.5000, 0.5000) and Au at (0.0000, 0.5000, 0.5000).

=====

# Li3Si4Ni2

Li3Si4Ni2 after structural relaxation (PBE, the Alexandria database).

The magnetization comes out at 0.00 μB/f.u. The value obtained for the volume is 269.2 Å³ per cell. Its uncorrected formation energy is -0.31 eV/atom.

The space group is C2/m (No. 12) and the conventional cell measures 9.9679, 3.8398 and 7.3007 Å, with angles of 90.00, 105.56 and 90.00 degrees. Symmetry generates all atoms from Li at (0.0000, 0.0000, 0.0000), Li at (0.1090, 0.5000, 0.6959), Si at (0.0927, 0.0000, 0.4228), Si at (0.2298, 0.5000, 0.0836) and Ni at (0.1907, 0.5000, 0.3712).

=====

# SbTe2Br

SbTe2Br after structural relaxation (PBE, the Alexandria database).

The magnetization comes out at 0.00 μB/f.u. As for the polymorph energy (0 for the lowest one): 193 meV/atom. The value obtained for the volume is 129.6 Å³ per cell. Its uncorrected formation energy is 0.02 eV/atom.

The space group is Pm (No. 6) and the conventional cell measures 3.1381, 4.1467 and 9.9569 Å, with angles of 90.00, 90.05 and 90.00 degrees. Symmetry generates all atoms from Sb at (0.0000, 0.0000, 0.0000), Te at (0.9987, 0.0000, 0.5156), Te at (0.9988, 0.5000, 0.7768) and Br at (0.0020, 0.5000, 0.2134).

=====

# La5Sm2TmSc

La5Sm2TmSc after structural relaxation (PBE, the Alexandria database).

The magnetization comes out at 0.00 μB/f.u. The total energy is -4.7033 eV per atom. The value obtained for the volume is 1259.6 Å³ per cell.

The space group is I4/mcm (No. 140) and the conventional cell measures 8.4152, 8.4152 and 17.7868 Å, with angles of 90.00, 90.00 and 90.00 degrees. Symmetry generates all atoms from La at (0.0000, 0.0000, 0.0000), La at (0.2206, 0.2794, 0.1448), Sm at (0.1274, 0.3726, 0.5000), Tm at (0.0000, 0.0000, 0.2500) and Sc at (0.0000, 0.5000, 0.2500).